No. 1
Here is Ac3InAs after structural relaxation from Alexandria via LeMat-Bulk. Energies are from PBE.

a = 9.8764 Å, b = 4.4008 Å, c = 17.4455 Å
α = 90.00°, β = 90.00°, γ = 90.00°
Closest atoms and distances in Å follow each position.
Space group Pnma (No. 62)
One atom of each set of equivalent atoms:
Ac (0.0193, 0.2500, 0.1097) [4 per cell]  3 As 3.14-3.16
Ac (0.1586, 0.2500, 0.5378) [4 per cell]  2 As 3.10
Ac (0.1623, 0.7500, 0.3010) [4 per cell]  1 As 3.07
In (0.1284, 0.7500, 0.6968) [4 per cell]  8 Ac 3.52-3.80
As (0.1793, 0.2500, 0.9527) [4 per cell]  6 Ac 3.07-3.16

Crystal system: orthorhombic
ρ, g cm⁻³: 7.63
Final energy, eV per atom: -4.639
Energy relative to the lowest polymorph listed for this composition, kcal/mol of atoms: 0.00

---

No. 2
Here is Ac4In2As after structural relaxation from Alexandria via LeMat-Bulk. Energies are from PBE.

a = 5.9810 Å, b = 5.9810 Å, c = 16.3337 Å
α = 90.00°, β = 90.00°, γ = 90.00°
Closest atoms and distances in Å follow each position.
Space group I4/mmm (No. 139)
One atom of each set of equivalent atoms:
Ac (0.0000, 0.0000, 0.1873) [4 per cell]  1 As 3.06, 1 In 3.28
Ac (0.0000, 0.5000, 0.0000) [4 per cell]  2 As 2.99
In (0.0000, 0.0000, 0.3884) [4 per cell]  5 Ac 3.28-3.50, 1 In 3.65
As (0.0000, 0.0000, 0.0000) [2 per cell]  6 Ac 2.99-3.06

Crystal system: tetragonal
ρ, g cm⁻³: 6.89
Final energy, eV per atom: -4.222
Energy relative to the lowest polymorph listed for this composition, kcal/mol of atoms: 4.37